No. 1
Compound: CaSc2Pa
Source: Alexandria
Functional: PBE
Structure: relaxed

a = 3.386 Å, b = 3.386 Å, c = 9.705 Å
α = 90.00°, β = 90.00°, γ = 90.00°
Fractional positions:
Sc 0.000 0.000 0.783
Sc 0.000 0.000 0.217
Ca 0.500 0.500 0.500
Pa 0.500 0.500 0.000

As for the formation energy: 14.9 kJ/mol of atoms. The calculated volume is 111.28 Å³/cell. As for the mass density: 5.387 g/cm3. As for the total DFT energy (no corrections): -23.54 eV for the cell shown.

=====

No. 2
Compound: CaPaSe2
Source: Alexandria
Functional: PBE
Structure: relaxed

a = 3.962 Å, b = 3.962 Å, c = 7.669 Å
α = 75.03°, β = 75.03°, γ = 60.00°
Each line ends with the local moment (μB).
Fractional positions:
Ca 0.500 0.500 0.500  0.00
Pa 0.000 0.000 0.000  1.22
Se 0.248 0.248 0.255  -0.01
Se 0.752 0.752 0.745  -0.01

The calculated volume is 99.52 Å³/cell. The offset from the most stable computed form is 0.0 meV/atom. As for the mass density: 7.159 g/cm3. As for the total DFT energy (no corrections): -24.46 eV for the cell shown.